Record 1
A plane-wave DFT calculation with PBE was carried out for a relaxed K3MgPb crystal.

Total DFT energy (no corrections) = -7.24 eV for the cell shown
N(E_F) = 0.3856 states/eV per atom
SG = Pm-3m
ΔE_f = 1.4 eV/f.u.
E above lowest polymorph = 1.35 eV/f.u.

a b c (Å): 6.896 6.896 6.896
angles (deg): 90.00 90.00 90.00
Last column: magnetic moment on the atom in μB.
Atoms (fractional coordinates):
K  0.000  0.500  0.000  0.01
K  0.000  0.000  0.500  0.02
K  0.500  0.000  0.000  0.01
Pb  0.000  0.000  0.000  0.33
Mg  0.500  0.500  0.500  0.00



Record 2
A plane-wave DFT calculation with PBE was carried out for a relaxed KMg2Pb crystal.

Total DFT energy (no corrections) = -7.72 eV for the cell shown
N(E_F) = 0.5564 states/eV per atom
SG = C2/m
ΔE_f = 0.3 eV/f.u.

a b c (Å): 5.611 5.611 6.673
angles (deg): 82.24 82.24 37.99
Atoms (fractional coordinates):
Mg  0.516  0.516  0.438
Mg  0.984  0.984  0.062
K  0.750  0.750  0.750
Pb  0.250  0.250  0.250



Record 3
A plane-wave DFT calculation with PBE was carried out for a relaxed K2MgPb crystal.

Total DFT energy (no corrections) = -6.87 eV for the cell shown
N(E_F) = 0.8138 states/eV per atom
SG = R-3m
ΔE_f = 0.6 eV/f.u.

a b c (Å): 12.722 12.722 12.722
angles (deg): 17.03 17.03 17.03
Last column: magnetic moment on the atom in μB.
Atoms (fractional coordinates):
Pb  0.750  0.750  0.750  0.06
K  0.497  0.497  0.497  0.01
K  0.003  0.003  0.003  0.01
Mg  0.250  0.250  0.250  0.00



Record 4
A plane-wave DFT calculation with PBE was carried out for a relaxed KMg2Pb crystal.

Total DFT energy (no corrections) = -7.33 eV for the cell shown
N(E_F) = 0.5017 states/eV per atom
SG = R-3m
ΔE_f = 0.7 eV/f.u.

a b c (Å): 12.215 12.215 12.215
angles (deg): 16.29 16.29 16.29
Atoms (fractional coordinates):
Pb  0.250  0.250  0.250
K  0.750  0.750  0.750
Mg  0.506  0.506  0.506
Mg  0.994  0.994  0.994